(1)
# Pr4GeTeI2

A relaxed structure of Pr4GeTeI2 (GGA-PBE, Alexandria via LeMat-Bulk).

Values from the calculation:
Magnetization in μB/atom: 0.000
Symmetry: No. 10
Crystal system: monoclinic
E_form (uncorrected) in eV/atom: -1.114

Cell: 7.8950 4.4537 8.0368 Å, 90.00 108.70 90.00°
Sites, in units of the cell vectors:
Pr: 0.2126 0.0000 0.2027
Pr: 0.2355 0.5000 0.7904
Pr: 0.7645 0.5000 0.2096
Pr: 0.7874 0.0000 0.7973
Ge: 0.0000 0.5000 0.0000
Te: 0.5000 0.0000 0.0000
I: 0.0000 0.0000 0.5000
I: 0.5000 0.5000 0.5000

=====

(2)
# PrTlGe2I8

A relaxed structure of PrTlGe2I8 (GGA-PBE, Alexandria via LeMat-Bulk).

Values from the calculation:
Magnetization in μB/atom: 0.000
Symmetry: No. 2
Crystal system: triclinic
E_form (uncorrected) in eV/atom: -0.683

Cell: 7.2815 7.7438 9.5654 Å, 86.34 86.88 87.54°
Sites, in units of the cell vectors:
Pr: 0.0000 0.0000 0.0000
Tl: 0.0000 0.0000 0.5000
Ge: 0.4661 0.4744 0.7415
Ge: 0.5339 0.5256 0.2585
I: 0.2489 0.3329 0.9803
I: 0.2560 0.8273 0.7681
I: 0.2594 0.8342 0.2297
I: 0.2742 0.3622 0.5288
I: 0.7258 0.6378 0.4712
I: 0.7406 0.1658 0.7703
I: 0.7440 0.1727 0.2319
I: 0.7511 0.6671 0.0197

=====

(3)
# Pr6TlGe2I3

A relaxed structure of Pr6TlGe2I3 (GGA-PBE, Alexandria via LeMat-Bulk).

Values from the calculation:
Magnetization in μB/atom: 0.000
Symmetry: No. 12
Crystal system: monoclinic
E_form (uncorrected) in eV/atom: -0.892

Cell: 10.2755 10.2755 9.3575 Å, 105.13 105.13 24.77°
Sites, in units of the cell vectors:
Pr: 0.0141 0.0141 0.2456
Pr: 0.3216 0.3216 0.4391
Pr: 0.3370 0.3370 0.8760
Pr: 0.6630 0.6630 0.1240
Pr: 0.6784 0.6784 0.5609
Pr: 0.9859 0.9859 0.7544
Tl: 0.5000 0.5000 0.0000
Ge: 0.1677 0.1677 0.3396
Ge: 0.8323 0.8323 0.6604
I: 0.1656 0.1656 0.8353
I: 0.5000 0.5000 0.5000
I: 0.8344 0.8344 0.1647

=====

(4)
# Pr4TlGeI2

A relaxed structure of Pr4TlGeI2 (GGA-PBE, Alexandria via LeMat-Bulk).

Values from the calculation:
Magnetization in μB/atom: 0.000
Symmetry: No. 10
Crystal system: monoclinic
E_form (uncorrected) in eV/atom: -0.821

Cell: 7.9038 4.4601 8.0277 Å, 90.00 108.62 90.00°
Sites, in units of the cell vectors:
Pr: 0.2249 0.0000 0.2078
Pr: 0.2469 0.5000 0.7817
Pr: 0.7531 0.5000 0.2183
Pr: 0.7751 0.0000 0.7922
Tl: 0.5000 0.0000 0.0000
Ge: 0.0000 0.5000 0.0000
I: 0.0000 0.0000 0.5000
I: 0.5000 0.5000 0.5000

=====

> Look up the E_form (uncorrected) of the fourth one.

-0.821 eV/atom

=====

> Which value of E_form (uncorrected) does entry 3 give?

-0.892 eV/atom